# 1
Sm3SnTe | PBE | optimized geometry

## Properties
Its calculated total energy is -50.96 eV per cell. The space group is P2_1/m. As for the uncorrected formation energy: -0.836 eV/atom.

a = 4.446 Å, b = 10.499 Å, c = 7.372 Å
α = 90.00°, β = 107.51°, γ = 90.00°
Fractional coordinates of all 10 atoms:
1 Sm 0.101 0.250 0.199
2 Sm 0.349 0.057 0.697
3 Sm 0.349 0.443 0.697
4 Sm 0.651 0.557 0.303
5 Sm 0.651 0.943 0.303
6 Sm 0.899 0.750 0.801
7 Sn 0.245 0.750 0.492
8 Sn 0.755 0.250 0.508
9 Te 0.000 0.000 0.000
10 Te 0.000 0.500 0.000

=====

# 2
Pm5Nd3Tm | PBE | optimized geometry

## Properties
Its calculated total energy is -76.17 eV per cell. The space group is C2/m. The value obtained for the formation energy is 429 kJ/mol of formula units.

a = 8.409 Å, b = 8.409 Å, c = 10.079 Å
α = 101.14°, β = 101.14°, γ = 89.43°
Fractional coordinates of all 18 atoms:
1 Pm 0.087 0.588 0.352
2 Pm 0.245 0.245 0.424
3 Pm 0.248 0.752 0.000
4 Pm 0.250 0.250 0.086
5 Pm 0.412 0.913 0.648
6 Pm 0.588 0.087 0.352
7 Pm 0.750 0.750 0.914
8 Pm 0.752 0.248 0.000
9 Pm 0.755 0.755 0.576
10 Pm 0.913 0.412 0.648
11 Nd 0.000 0.000 0.500
12 Nd 0.005 0.005 0.179
13 Nd 0.488 0.488 0.661
14 Nd 0.500 0.500 0.000
15 Nd 0.512 0.512 0.339
16 Nd 0.995 0.995 0.821
17 Tm 0.259 0.259 0.770
18 Tm 0.741 0.741 0.230

=====

# 3
LaCe2Sn3 | PBE | optimized geometry

## Properties
Its calculated total energy is -32.63 eV per cell. The space group is P4/mmm. The value obtained for the excess energy over the best structure of this formula in the dataset is 0.00 eV/f.u. The value obtained for the formation energy is -369 kJ/mol of formula units.

a = 4.166 Å, b = 4.166 Å, c = 9.891 Å
α = 90.00°, β = 90.00°, γ = 90.00°
Fractional coordinates of all 6 atoms:
1 La 0.000 0.000 0.000
2 Ce 0.000 0.000 0.342
3 Ce 0.000 0.000 0.658
4 Sn 0.500 0.500 0.179
5 Sn 0.500 0.500 0.500
6 Sn 0.500 0.500 0.821

=====

# 4
K3Tm2Cl9 | PBE | optimized geometry

## Properties
Its calculated total energy is -117.82 eV per cell. The space group is R-3c. As for the uncorrected formation energy: -2.147 eV/atom.

a = 9.576 Å, b = 9.576 Å, c = 9.576 Å
α = 84.29°, β = 84.29°, γ = 84.29°
Fractional coordinates of all 28 atoms:
1 K 0.067 0.750 0.433
2 K 0.250 0.567 0.933
3 K 0.433 0.067 0.750
4 K 0.567 0.933 0.250
5 K 0.750 0.433 0.067
6 K 0.933 0.250 0.567
7 Tm 0.148 0.148 0.148
8 Tm 0.352 0.352 0.352
9 Tm 0.648 0.648 0.648
10 Tm 0.852 0.852 0.852
11 Cl 0.069 0.274 0.921
12 Cl 0.079 0.931 0.726
13 Cl 0.096 0.404 0.250
14 Cl 0.226 0.431 0.579
15 Cl 0.250 0.096 0.404
16 Cl 0.274 0.921 0.069
17 Cl 0.404 0.250 0.096
18 Cl 0.421 0.774 0.569
19 Cl 0.431 0.579 0.226
20 Cl 0.569 0.421 0.774
21 Cl 0.579 0.226 0.431
22 Cl 0.596 0.750 0.904
23 Cl 0.726 0.079 0.931
24 Cl 0.750 0.904 0.596
25 Cl 0.774 0.569 0.421
26 Cl 0.904 0.596 0.750
27 Cl 0.921 0.069 0.274
28 Cl 0.931 0.726 0.079

=====

# 5
Ir2OsRhO | PBE | optimized geometry

## Properties
Its calculated total energy is -36.78 eV per cell. The space group is P4/mmm. As for the uncorrected formation energy: 0.896 eV/atom.

a = 4.088 Å, b = 4.088 Å, c = 4.113 Å
α = 90.00°, β = 90.00°, γ = 90.00°
Fractional coordinates of all 5 atoms:
1 Ir 0.000 0.500 0.000
2 Ir 0.500 0.000 0.000
3 Os 0.000 0.000 0.500
4 Rh 0.500 0.500 0.500
5 O 0.500 0.500 0.000

=====

# 6
Ac2GaTe5 | PBE | optimized geometry

## Properties
Its calculated total energy is -33.92 eV per cell. The space group is Cm. As for the uncorrected formation energy: -0.871 eV/atom.

a = 7.121 Å, b = 7.121 Å, c = 7.127 Å
α = 110.99°, β = 110.99°, γ = 106.36°
Fractional coordinates of all 8 atoms:
1 Ac 0.250 0.750 0.000
2 Ac 0.750 0.250 0.000
3 Ga 0.073 0.073 0.500
4 Te 0.230 0.230 0.970
5 Te 0.230 0.758 0.500
6 Te 0.390 0.390 0.500
7 Te 0.758 0.230 0.500
8 Te 0.759 0.759 0.029

=====

# 7
ErAl3Ni3 | PBE | optimized geometry

## Properties
Its calculated total energy is -66.19 eV per cell. The space group is Pm-3n. The value obtained for the formation energy is 4 kJ/mol of formula units.

a = 6.389 Å, b = 6.389 Å, c = 6.389 Å
α = 90.00°, β = 90.00°, γ = 90.00°
Fractional coordinates of all 14 atoms:
1 Er 0.000 0.000 0.000
2 Er 0.500 0.500 0.500
3 Al 0.000 0.250 0.500
4 Al 0.000 0.750 0.500
5 Al 0.250 0.500 0.000
6 Al 0.500 0.000 0.250
7 Al 0.500 0.000 0.750
8 Al 0.750 0.500 0.000
9 Ni 0.000 0.500 0.250
10 Ni 0.000 0.500 0.750
11 Ni 0.250 0.000 0.500
12 Ni 0.500 0.250 0.000
13 Ni 0.500 0.750 0.000
14 Ni 0.750 0.000 0.500

=====

# 8
KRb9Hg2 | PBE | optimized geometry

## Properties
Its calculated total energy is -21.45 eV per cell. The space group is I4_1/amd. The value obtained for the formation energy is -30 kJ/mol of formula units.

a = 13.807 Å, b = 13.807 Å, c = 13.807 Å
α = 98.95°, β = 98.95°, γ = 133.54°
Fractional coordinates of all 24 atoms:
1 K 0.375 0.625 0.750
2 K 0.625 0.375 0.250
3 Rb 0.080 0.534 0.291
4 Rb 0.080 0.789 0.545
5 Rb 0.125 0.875 0.250
6 Rb 0.211 0.256 0.291
7 Rb 0.211 0.920 0.955
8 Rb 0.256 0.211 0.791
9 Rb 0.256 0.466 0.045
10 Rb 0.466 0.256 0.545
11 Rb 0.466 0.920 0.209
12 Rb 0.534 0.080 0.791
13 Rb 0.534 0.744 0.455
14 Rb 0.744 0.534 0.955
15 Rb 0.744 0.789 0.209
16 Rb 0.789 0.080 0.045
17 Rb 0.789 0.744 0.709
18 Rb 0.875 0.125 0.750
19 Rb 0.920 0.211 0.455
20 Rb 0.920 0.466 0.709
21 Hg 0.000 0.000 0.000
22 Hg 0.000 0.000 0.500
23 Hg 0.000 0.500 0.000
24 Hg 0.500 0.000 0.500

=====

# 9
KMn3B | PBE | optimized geometry

## Properties
Its calculated total energy is -31.25 eV per cell. The space group is Pm-3m. The value obtained for the formation energy is 389 kJ/mol of formula units.

a = 4.267 Å, b = 4.267 Å, c = 4.267 Å
α = 90.00°, β = 90.00°, γ = 90.00°
Fractional coordinates of all 5 atoms:
1 K 0.000 0.000 0.000
2 Mn 0.000 0.500 0.500
3 Mn 0.500 0.000 0.500
4 Mn 0.500 0.500 0.000
5 B 0.500 0.500 0.500

=====

# 10
HoPu2Si6 | PBE | optimized geometry

## Properties
Its calculated total energy is -70.27 eV per cell. The space group is P6/mmm. As for the uncorrected formation energy: -0.499 eV/atom.

a = 7.023 Å, b = 7.023 Å, c = 3.884 Å
α = 90.00°, β = 90.00°, γ = 120.00°
Fractional coordinates of all 9 atoms:
1 Ho 0.000 0.000 0.000
2 Pu 0.333 0.667 0.000
3 Pu 0.667 0.333 0.000
4 Si 0.000 0.333 0.500
5 Si 0.000 0.667 0.500
6 Si 0.333 0.000 0.500
7 Si 0.333 0.333 0.500
8 Si 0.667 0.000 0.500
9 Si 0.667 0.667 0.500

=====

# 11
Dy3PuRh4 | PBE | optimized geometry

## Properties
Its calculated total energy is -63.46 eV per cell. The space group is I4/mmm. The value obtained for the formation energy is -570 kJ/mol of formula units.

a = 7.680 Å, b = 7.680 Å, c = 7.680 Å
α = 143.25°, β = 143.25°, γ = 52.96°
Fractional coordinates of all 8 atoms:
1 Dy 0.000 0.000 0.000
2 Dy 0.251 0.251 0.000
3 Dy 0.749 0.749 0.000
4 Pu 0.500 0.500 0.000
5 Rh 0.125 0.625 0.500
6 Rh 0.375 0.875 0.500
7 Rh 0.625 0.125 0.500
8 Rh 0.875 0.375 0.500

=====

# 12
MgTaRe | PBE | optimized geometry

## Properties
Its calculated total energy is -25.72 eV per cell. The space group is P3m1. The value obtained for the excess energy over the best structure of this formula in the dataset is 0.00 eV/f.u. The value obtained for the formation energy is 17 kJ/mol of formula units.

a = 4.588 Å, b = 4.588 Å, c = 2.763 Å
α = 90.00°, β = 90.00°, γ = 120.00°
Fractional coordinates of all 3 atoms:
1 Mg 0.000 0.000 0.000
2 Ta 0.333 0.667 0.611
3 Re 0.667 0.333 0.334

=====

What magnetization values result from the calculations? In sequence: 0.0, 0.0, 1.9, 0.0, 0.0, 0.0, 0.0, 0.0, 9.0, 10.6, 4.8, 0.0 μB/cell.
What volume values result from the calculations? In sequence: 328.2, 685.9, 171.7, 865.8, 68.7, 278.0, 260.8, 1753.3, 77.7, 165.9, 161.2, 50.4 Å³ per cell.